Entry from Alexandria via LeMat-Bulk: a geometry-optimized Cr3SiSn structure (PBEsol).

a = 4.9132 Å, b = 4.9132 Å, c = 4.9132 Å
α = 90.00°, β = 90.00°, γ = 90.00°
Closest atoms and distances in Å follow each position.
Fractional coordinates of all 5 atoms:
Cr 0.0000 0.0000 0.5000  2 Sn 2.46
Cr 0.0000 0.5000 0.0000  2 Sn 2.46
Cr 0.5000 0.0000 0.0000  2 Sn 2.46
Si 0.5000 0.5000 0.5000  12 Cr 3.47
Sn 0.0000 0.0000 0.0000  6 Cr 2.46

## Properties
uncorrected formation energy: 1.746 eV/atom
spin magnetization: 10.794 μB/f.u.
volume: 23.720 A^3/atom